VASP calculation (PBEsol) on ReTcAsSe2 after structural relaxation.

```
data_ReTcAsSe2
_cell_length_a 4.830
_cell_length_b 4.830
_cell_length_c 4.738
_cell_angle_alpha 90.00
_cell_angle_beta 90.00
_cell_angle_gamma 90.00
_symmetry_space_group_name_H-M 'P 4/m m m'
_symmetry_Int_Tables_number 123
_symmetry_space_group_name_Hall '-P 4 2'
loop_
_atom_site_label
_atom_site_type_symbol
_atom_site_fract_x
_atom_site_fract_y
_atom_site_fract_z
Re1 Re 0.000 0.000 0.000
Tc1 Tc 0.500 0.500 0.500
As1 As 0.000 0.000 0.500
Se1 Se 0.000 0.500 0.000
```

N(E_F)   6.41 states/eV/f.u.
Total magnetization   3.56 μB per formula unit
E   -6.163 eV per atom

VASP calculation (PBEsol) on TiReAsSe2 after structural relaxation.

```
data_TiReAsSe2
_cell_length_a 4.752
_cell_length_b 4.752
_cell_length_c 4.907
_cell_angle_alpha 90.00
_cell_angle_beta 90.00
_cell_angle_gamma 90.00
_symmetry_space_group_name_H-M 'P 4/m m m'
_symmetry_Int_Tables_number 123
_symmetry_space_group_name_Hall '-P 4 2'
loop_
_atom_site_label
_atom_site_type_symbol
_atom_site_fract_x
_atom_site_fract_y
_atom_site_fract_z
Ti1 Ti 0.000 0.000 0.000
Re1 Re 0.500 0.500 0.500
As1 As 0.000 0.000 0.500
Se1 Se 0.000 0.500 0.000
```

N(E_F)   3.50 states/eV/f.u.
Total magnetization   4.11 μB per formula unit
E   -5.946 eV per atom

VASP calculation (PBEsol) on YReAsSe2 after structural relaxation.

```
data_YReAsSe2
_cell_length_a 5.242
_cell_length_b 5.242
_cell_length_c 5.419
_cell_angle_alpha 90.00
_cell_angle_beta 90.00
_cell_angle_gamma 90.00
_symmetry_space_group_name_H-M 'P 4/m m m'
_symmetry_Int_Tables_number 123
_symmetry_space_group_name_Hall '-P 4 2'
loop_
_atom_site_label
_atom_site_type_symbol
_atom_site_fract_x
_atom_site_fract_y
_atom_site_fract_z
Y1 Y 0.000 0.000 0.000
Re1 Re 0.500 0.500 0.500
As1 As 0.000 0.000 0.500
Se1 Se 0.000 0.500 0.000
```

N(E_F)   4.70 states/eV/f.u.
Total magnetization   3.97 μB per formula unit
E   -5.436 eV per atom

VASP calculation (PBEsol) on ReSiAs after structural relaxation.

```
data_ReSiAs
_cell_length_a 3.049
_cell_length_b 4.829
_cell_length_c 12.589
_cell_angle_alpha 90.00
_cell_angle_beta 90.00
_cell_angle_gamma 90.00
_symmetry_space_group_name_H-M 'F m m 2'
_symmetry_Int_Tables_number 42
_symmetry_space_group_name_Hall 'F 2 -2'
loop_
_atom_site_label
_atom_site_type_symbol
_atom_site_fract_x
_atom_site_fract_y
_atom_site_fract_z
Re1 Re 0.000 0.000 0.000
Si1 Si 0.000 0.000 0.349
As1 As 0.000 0.000 0.663
```

N(E_F)   2.04 states/eV/f.u.
Total magnetization   0.00 μB per formula unit
E   -7.681 eV per atom

> Which value of N(E_F) does entry 2 give?

3.50 states/eV/f.u.

> Which of these has the highest N(E_F)?

ReTcAsSe2

> Which value of E does entry 4 give?

-7.681 eV per atom